1.
DFT (PBE) results for a relaxed Sm6TmTl crystal.

Cell: 4.9706 4.9706 10.2104 Å, 90.00 90.00 90.00°
Sites, in units of the cell vectors:
Sm  0.0000  0.0000  0.0000
Sm  0.0000  0.0000  0.5000
Sm  0.0000  0.5000  0.2456
Sm  0.0000  0.5000  0.7544
Sm  0.5000  0.0000  0.2456
Sm  0.5000  0.0000  0.7544
Tm  0.5000  0.5000  0.5000
Tl  0.5000  0.5000  0.0000

Results
Energy of formation in eV per atom: -0.08



2.
DFT (PBE) results for a relaxed SmTlAu2 crystal.

Cell: 3.7760 3.7760 6.7914 Å, 90.00 90.00 90.00°
Sites, in units of the cell vectors:
Sm  0.0000  0.0000  0.0000
Tl  0.0000  0.0000  0.5000
Au  0.5000  0.5000  0.2312
Au  0.5000  0.5000  0.7688

Results
Energy of formation in eV per atom: -0.50



3.
DFT (PBE) results for a relaxed MgCrP2N6 crystal.

Cell: 6.9490 6.9490 5.2357 Å, 106.34 106.34 88.76°
Sites, in units of the cell vectors:
Mg  0.1165  0.8835  0.7500
Mg  0.8835  0.1165  0.2500
Cr  0.2054  0.7946  0.2500
Cr  0.7946  0.2054  0.7500
P  0.2313  0.3765  0.8032
P  0.3765  0.2313  0.3031
P  0.6235  0.7687  0.6968
P  0.7687  0.6235  0.1968
N  0.0268  0.2182  0.6716
N  0.1775  0.6124  0.9411
N  0.2182  0.0268  0.1716
N  0.3014  0.3853  0.5405
N  0.3853  0.3014  0.0405
N  0.3876  0.8225  0.5589
N  0.6124  0.1775  0.4411
N  0.6147  0.6986  0.9595
N  0.6986  0.6147  0.4595
N  0.7818  0.9732  0.8284
N  0.8225  0.3876  0.0589
N  0.9732  0.7818  0.3284

Results
Formation energy without anion corrections in eV per formula unit: -3.32



4.
DFT (PBE) results for a relaxed HoTmTc4 crystal.

Cell: 5.3814 5.3814 5.3814 Å, 60.00 60.00 60.00°
Sites, in units of the cell vectors:
Ho  0.0000  0.0000  0.0000
Tm  0.2500  0.2500  0.2500
Tc  0.1251  0.6250  0.6250
Tc  0.6250  0.1251  0.6250
Tc  0.6250  0.6250  0.1251
Tc  0.6250  0.6250  0.6250

Results
Energy of formation in eV per atom: -0.18



5.
DFT (PBE) results for a relaxed ZrMn2Si crystal.

Cell: 5.0908 5.0908 2.8574 Å, 104.53 104.53 114.49°
Sites, in units of the cell vectors:
Zr  0.0000  0.0000  0.0000
Mn  0.0000  0.5000  0.5000
Mn  0.5000  0.0000  0.5000
Si  0.5000  0.5000  0.0000

Results
Formation energy without anion corrections in eV per formula unit: 0.10



6.
DFT (PBE) results for a relaxed ZrTlV2H crystal.

Cell: 5.3090 5.3090 3.4826 Å, 90.00 90.00 90.00°
Sites, in units of the cell vectors:
Zr  0.0000  0.0000  0.0000
Tl  0.5000  0.5000  0.5000
V  0.0000  0.5000  0.5000
V  0.5000  0.0000  0.5000
H  0.5000  0.5000  0.0000

Results
Electronic total energy in eV per atom: -5.23